Density functional theory data (PBE-GGA) for an optimized crystal structure of K3Ag2PbBr9.

Computed properties:
**V**: 34.65 A^3/atom
**Magnetization**: 0.00 μB per formula unit
**Total DFT energy (no corrections)**: -2.792 eV/atom

Unit cell a=7.8280 b=7.8280 c=9.7952 alpha=90.00 beta=90.00 gamma=120.00
Space group P-3m1 (No. 164)
Inequivalent atoms, fractional coordinates:
K 0.0000 0.0000 0.0000 x1
K 0.3333 0.6667 0.7215 x2
Ag 0.3333 0.6667 0.1587 x2
Pb 0.0000 0.0000 0.5000 x1
Br 0.0000 0.5000 0.0000 x3
Br 0.1694 0.3388 0.3233 x6